{
  "formula": "Nb2ZnCu",
  "functional": "PBE-GGA",
  "state": "optimized geometry",
  "cell": [[4.012, 0.000, 0.000], [0.000, 4.012, 0.000], [0.000, 0.000, 3.917]],
  "species": ["Nb", "Nb", "Zn", "Cu"],
  "fractional_positions": [[0.000, 0.500, 0.000], [0.500, 0.000, 0.000], [0.000, 0.000, 0.500], [0.500, 0.500, 0.500]]
}


{
  "formula": "CsUCu2F8",
  "functional": "PBE-GGA",
  "state": "optimized geometry",
  "formation_energy_uncorrected_ev_per_atom": -2.526,
  "cell": [[2.721, 1.571, 8.206], [-2.721, 1.571, 8.206], [0.000, -3.142, 8.206]],
  "species": ["Cs", "U", "Cu", "Cu", "F", "F", "F", "F", "F", "F", "F", "F"],
  "fractional_positions": [[0.000, 0.000, 0.000], [0.500, 0.500, 0.500], [0.269, 0.269, 0.269], [0.731, 0.731, 0.731], [0.109, 0.748, 0.494], [0.252, 0.506, 0.891], [0.345, 0.345, 0.345], [0.494, 0.109, 0.748], [0.506, 0.891, 0.252], [0.655, 0.655, 0.655], [0.748, 0.494, 0.109], [0.891, 0.252, 0.506]]
}


{
  "formula": "Al2AsRu",
  "functional": "PBE-GGA",
  "state": "optimized geometry",
  "cell": [[3.170, 0.000, 0.000], [0.000, 4.183, 0.000], [-1.561, 0.000, 4.699]],
  "species": ["Al", "Al", "As", "Ru"],
  "fractional_positions": [[0.000, 0.000, 0.000], [0.308, 0.500, 0.625], [0.579, 0.500, 0.159], [0.726, 0.000, 0.457]]
}


{
  "formula": "NpMnBi",
  "functional": "PBE-GGA",
  "state": "optimized geometry",
  "cell": [[3.153, 0.000, 0.000], [0.000, 3.153, 0.000], [0.000, 0.000, 28.872]],
  "species": ["Np", "Np", "Np", "Np", "Mn", "Mn", "Mn", "Mn", "Bi", "Bi", "Bi", "Bi"],
  "fractional_positions": [[0.000, 0.000, 0.167], [0.000, 0.000, 0.833], [0.500, 0.500, 0.333], [0.500, 0.500, 0.667], [0.000, 0.000, 0.275], [0.000, 0.000, 0.725], [0.500, 0.500, 0.225], [0.500, 0.500, 0.775], [0.000, 0.000, 0.427], [0.000, 0.000, 0.573], [0.500, 0.500, 0.073], [0.500, 0.500, 0.927]]
}


{
  "formula": "ZrHgAs2",
  "functional": "PBE-GGA",
  "state": "optimized geometry",
  "cell": [[3.986, 0.000, 0.000], [0.000, 4.696, 0.000], [0.000, 0.000, 8.680]],
  "species": ["Zr", "Zr", "Hg", "Hg", "As", "As", "As", "As"],
  "fractional_positions": [[0.000, 0.000, 0.000], [0.500, 0.500, 0.500], [0.000, 0.000, 0.500], [0.500, 0.500, 0.000], [0.000, 0.500, 0.256], [0.000, 0.500, 0.744], [0.500, 0.000, 0.244], [0.500, 0.000, 0.756]]
}


{
  "formula": "Sn2PbO",
  "functional": "PBE-GGA",
  "state": "optimized geometry",
  "relative_energy_mev_per_atom": 470,
  "formation_energy_uncorrected_ev_per_atom": 0.192,
  "cell": [[7.126, 0.000, 0.000], [0.000, 7.126, 0.000], [0.000, 0.000, 7.126]],
  "species": ["Sn", "Sn", "Sn", "Sn", "Sn", "Sn", "Sn", "Sn", "Pb", "Pb", "Pb", "Pb", "O", "O", "O", "O"],
  "fractional_positions": [[0.250, 0.250, 0.250], [0.250, 0.250, 0.750], [0.250, 0.750, 0.250], [0.250, 0.750, 0.750], [0.750, 0.250, 0.250], [0.750, 0.250, 0.750], [0.750, 0.750, 0.250], [0.750, 0.750, 0.750], [0.000, 0.000, 0.000], [0.000, 0.500, 0.500], [0.500, 0.000, 0.500], [0.500, 0.500, 0.000], [0.000, 0.000, 0.500], [0.000, 0.500, 0.000], [0.500, 0.000, 0.000], [0.500, 0.500, 0.500]]
}


{
  "formula": "CaPrGa2Au5",
  "functional": "PBE-GGA",
  "state": "optimized geometry",
  "cell": [[4.541, 0.000, 0.000], [0.000, 4.541, 0.000], [0.000, 0.000, 9.067]],
  "species": ["Ca", "Pr", "Ga", "Ga", "Au", "Au", "Au", "Au", "Au"],
  "fractional_positions": [[0.000, 0.000, 0.000], [0.000, 0.000, 0.500], [0.500, 0.500, 0.364], [0.500, 0.500, 0.636], [0.000, 0.500, 0.226], [0.000, 0.500, 0.774], [0.500, 0.000, 0.226], [0.500, 0.000, 0.774], [0.500, 0.500, 0.000]]
}


{
  "formula": "RbCu2AgCl4",
  "functional": "PBE-GGA",
  "state": "optimized geometry",
  "formation_energy_uncorrected_ev_per_atom": -0.836,
  "cell": [[6.751, 0.000, 0.000], [0.000, 7.984, 0.000], [0.000, 0.000, 8.442]],
  "species": ["Rb", "Rb", "Cu", "Cu", "Cu", "Cu", "Ag", "Ag", "Cl", "Cl", "Cl", "Cl", "Cl", "Cl", "Cl", "Cl"],
  "fractional_positions": [[0.000, 0.000, 0.000], [0.500, 0.500, 0.500], [0.000, 0.500, 0.159], [0.000, 0.500, 0.841], [0.500, 0.000, 0.341], [0.500, 0.000, 0.659], [0.000, 0.000, 0.500], [0.500, 0.500, 0.000], [0.247, 0.333, 0.821], [0.247, 0.667, 0.179], [0.253, 0.167, 0.321], [0.253, 0.833, 0.679], [0.747, 0.167, 0.679], [0.747, 0.833, 0.321], [0.753, 0.333, 0.179], [0.753, 0.667, 0.821]]
}


{
  "formula": "LiNdBi2",
  "functional": "PBE-GGA",
  "state": "optimized geometry",
  "relative_energy_mev_per_atom": 208,
  "cell": [[7.749, 0.000, 0.000], [0.000, 7.749, 0.000], [0.000, 0.000, 7.749]],
  "species": ["Li", "Li", "Li", "Li", "Nd", "Nd", "Nd", "Nd", "Bi", "Bi", "Bi", "Bi", "Bi", "Bi", "Bi", "Bi"],
  "fractional_positions": [[0.000, 0.000, 0.000], [0.000, 0.500, 0.500], [0.500, 0.000, 0.500], [0.500, 0.500, 0.000], [0.000, 0.000, 0.500], [0.000, 0.500, 0.000], [0.500, 0.000, 0.000], [0.500, 0.500, 0.500], [0.250, 0.250, 0.250], [0.250, 0.250, 0.750], [0.250, 0.750, 0.250], [0.250, 0.750, 0.750], [0.750, 0.250, 0.250], [0.750, 0.250, 0.750], [0.750, 0.750, 0.250], [0.750, 0.750, 0.750]]
}


{
  "formula": "Ac8Pd3CI3",
  "functional": "PBE-GGA",
  "state": "optimized geometry",
  "formation_energy_uncorrected_ev_per_atom": -0.670,
  "cell": [[7.623, -4.410, 0.000], [7.623, 4.410, 0.000], [-5.094, 0.000, 8.584]],
  "species": ["Ac", "Ac", "Ac", "Ac", "Ac", "Ac", "Ac", "Ac", "Pd", "Pd", "Pd", "C", "I", "I", "I"],
  "fractional_positions": [[0.212, 0.755, 0.680], [0.213, 0.213, 0.681], [0.245, 0.788, 0.320], [0.270, 0.270, 0.311], [0.730, 0.730, 0.689], [0.755, 0.212, 0.680], [0.787, 0.787, 0.319], [0.788, 0.245, 0.320], [0.000, 0.500, 0.500], [0.500, 0.000, 0.500], [0.500, 0.500, 0.500], [0.000, 0.000, 0.500], [0.000, 0.000, 0.000], [0.000, 0.500, 0.000], [0.500, 0.000, 0.000]]
}


{
  "formula": "Zr3MnC",
  "functional": "PBE-GGA",
  "state": "optimized geometry",
  "relative_energy_mev_per_atom": 1369,
  "cell": [[4.703, 0.000, 0.000], [0.000, 4.703, 0.000], [0.000, 0.000, 4.703]],
  "species": ["Zr", "Zr", "Zr", "Mn", "C"],
  "fractional_positions": [[0.000, 0.000, 0.500], [0.000, 0.500, 0.000], [0.500, 0.000, 0.000], [0.000, 0.000, 0.000], [0.500, 0.500, 0.500]]
}


{
  "formula": "Sr3ZrCu",
  "functional": "PBE-GGA",
  "state": "optimized geometry",
  "relative_energy_mev_per_atom": 0,
  "cell": [[5.847, 0.000, 0.000], [0.000, 5.847, 0.000], [0.000, 0.000, 5.847]],
  "species": ["Sr", "Sr", "Sr", "Zr", "Cu"],
  "fractional_positions": [[0.000, 0.000, 0.500], [0.000, 0.500, 0.000], [0.500, 0.000, 0.000], [0.500, 0.500, 0.500], [0.000, 0.000, 0.000]]
}


{
  "formula": "Hf2HgPb2",
  "functional": "PBE-GGA",
  "state": "optimized geometry",
  "relative_energy_mev_per_atom": 145,
  "cell": [[8.793, 0.000, 0.000], [0.000, 8.793, 0.000], [0.000, 0.000, 3.273]],
  "species": ["Hf", "Hf", "Hf", "Hf", "Hg", "Hg", "Pb", "Pb", "Pb", "Pb"],
  "fractional_positions": [[0.129, 0.371, 0.000], [0.371, 0.871, 0.000], [0.629, 0.129, 0.000], [0.871, 0.629, 0.000], [0.000, 0.000, 0.500], [0.500, 0.500, 0.500], [0.166, 0.666, 0.500], [0.334, 0.166, 0.500], [0.666, 0.834, 0.500], [0.834, 0.334, 0.500]]
}


{
  "formula": "CsBiTeSe3",
  "functional": "PBE-GGA",
  "state": "optimized geometry",
  "formation_energy_uncorrected_ev_per_atom": -0.451,
  "cell": [[9.584, 0.000, 0.000], [0.000, 4.309, 0.000], [-3.023, 0.000, 11.042]],
  "species": ["Cs", "Cs", "Bi", "Bi", "Te", "Te", "Se", "Se", "Se", "Se", "Se", "Se"],
  "fractional_positions": [[0.189, 0.250, 0.223], [0.811, 0.750, 0.777], [0.330, 0.750, 0.896], [0.670, 0.250, 0.104], [0.116, 0.250, 0.574], [0.884, 0.750, 0.426], [0.129, 0.250, 0.897], [0.287, 0.750, 0.602], [0.459, 0.750, 0.143], [0.541, 0.250, 0.857], [0.713, 0.250, 0.398], [0.871, 0.750, 0.103]]
}


{
  "formula": "Ac2Nd4Ho",
  "functional": "PBE-GGA",
  "state": "optimized geometry",
  "relative_energy_mev_per_atom": 456,
  "cell": [[5.730, 0.000, 0.000], [0.000, 5.730, 0.000], [0.000, 0.000, 18.352]],
  "species": ["Ac", "Ac", "Ac", "Ac", "Nd", "Nd", "Nd", "Nd", "Nd", "Nd", "Nd", "Nd", "Ho", "Ho"],
  "fractional_positions": [[0.000, 0.000, 0.128], [0.000, 0.000, 0.872], [0.500, 0.500, 0.372], [0.500, 0.500, 0.628], [0.000, 0.000, 0.325], [0.000, 0.000, 0.675], [0.000, 0.500, 0.000], [0.000, 0.500, 0.500], [0.500, 0.000, 0.000], [0.500, 0.000, 0.500], [0.500, 0.500, 0.175], [0.500, 0.500, 0.825], [0.000, 0.000, 0.500], [0.500, 0.500, 0.000]]
}


{
  "formula": "Y2Tc2Ag",
  "functional": "PBE-GGA",
  "state": "optimized geometry",
  "relative_energy_mev_per_atom": 474,
  "cell": [[5.460, 0.000, 0.000], [0.000, 5.460, 0.000], [0.000, 0.000, 7.870]],
  "species": ["Y", "Y", "Y", "Y", "Tc", "Tc", "Tc", "Tc", "Ag", "Ag"],
  "fractional_positions": [[0.000, 0.500, 0.250], [0.000, 0.500, 0.750], [0.500, 0.000, 0.250], [0.500, 0.000, 0.750], [0.000, 0.000, 0.147], [0.000, 0.000, 0.853], [0.500, 0.500, 0.353], [0.500, 0.500, 0.647], [0.000, 0.000, 0.500], [0.500, 0.500, 0.000]]
}


{
  "formula": "Mg3Tc",
  "functional": "PBE-GGA",
  "state": "optimized geometry",
  "cell": [[6.603, 0.000, 0.000], [0.000, 6.603, 0.000], [0.000, 0.000, 6.603]],
  "species": ["Mg", "Mg", "Mg", "Mg", "Mg", "Mg", "Mg", "Mg", "Mg", "Mg", "Mg", "Mg", "Tc", "Tc", "Tc", "Tc"],
  "fractional_positions": [[0.000, 0.000, 0.000], [0.000, 0.500, 0.500], [0.250, 0.250, 0.250], [0.250, 0.250, 0.750], [0.250, 0.750, 0.250], [0.250, 0.750, 0.750], [0.500, 0.000, 0.500], [0.500, 0.500, 0.000], [0.750, 0.250, 0.250], [0.750, 0.250, 0.750], [0.750, 0.750, 0.250], [0.750, 0.750, 0.750], [0.000, 0.000, 0.500], [0.000, 0.500, 0.000], [0.500, 0.000, 0.000], [0.500, 0.500, 0.500]]
}


{
  "formula": "KCaPb3",
  "functional": "PBE-GGA",
  "state": "optimized geometry",
  "relative_energy_mev_per_atom": 0,
  "cell": [[5.991, 0.000, 0.000], [0.000, 5.991, 0.000], [0.000, 0.000, 5.991]],
  "species": ["K", "Ca", "Pb", "Pb", "Pb"],
  "fractional_positions": [[0.000, 0.000, 0.000], [0.500, 0.500, 0.500], [0.000, 0.500, 0.500], [0.500, 0.000, 0.500], [0.500, 0.500, 0.000]]
}


{
  "formula": "CeNi2Ge2P",
  "functional": "PBE-GGA",
  "state": "optimized geometry",
  "cell": [[4.309, 0.000, 0.000], [0.000, 4.309, 0.000], [0.000, 0.000, 5.530]],
  "species": ["Ce", "Ni", "Ni", "Ge", "Ge", "P"],
  "fractional_positions": [[0.000, 0.000, 0.000], [0.000, 0.500, 0.500], [0.500, 0.000, 0.500], [0.500, 0.500, 0.228], [0.500, 0.500, 0.772], [0.000, 0.000, 0.500]]
}


{
  "formula": "Ho4HfN5",
  "functional": "PBE-GGA",
  "state": "optimized geometry",
  "formation_energy_uncorrected_ev_per_atom": -1.779,
  "cell": [[-3.790, 3.790, 2.401], [3.790, -3.790, 2.401], [3.790, 3.790, -2.401]],
  "species": ["Ho", "Ho", "Ho", "Ho", "Hf", "N", "N", "N", "N", "N"],
  "fractional_positions": [[0.100, 0.701, 0.801], [0.299, 0.100, 0.400], [0.701, 0.900, 0.600], [0.900, 0.299, 0.199], [0.500, 0.500, 0.000], [0.000, 0.000, 0.000], [0.215, 0.405, 0.620], [0.405, 0.785, 0.190], [0.595, 0.215, 0.810], [0.785, 0.595, 0.380]]
}


no.,uncorrected energy (eV per cell)
1,-25.46
2,-65.62
3,-22.66
4,-101.39
5,-37.68
6,-63.61
7,-34.40
8,-52.18
9,-65.38
10,-72.36
11,-37.10
12,-14.97
13,-52.79
14,-42.07
15,-55.81
16,-67.77
17,-56.17
18,-13.22
19,-35.06
20,-87.69